VASP calculation (PBE-GGA) on Ba2MnReB after structural relaxation.

* density: 5.3 Mg/m³
* crystal system: tetragonal
* DFT total energy: -4.93 eV per atom
* ΔE_f: 1.497 eV/atom

Unit cell a=6.038 b=4.509 c=6.038 alpha=90.00 beta=90.00 gamma=90.00
Element x y z (fractional)
Mn1 0.000 0.500 0.000
B1 0.500 0.500 0.500
Ba1 0.500 0.000 0.000
Ba2 0.000 0.000 0.500
Re1 0.000 0.000 0.000

---

VASP calculation (PBE-GGA) on BaMnBS4 after structural relaxation.

* density: 3.8 Mg/m³
* crystal system: monoclinic
* DFT total energy: -5.78 eV per atom
* uncorrected formation energy: -6.18 eV/f.u.

Unit cell a=5.568 b=6.444 c=8.678 alpha=90.00 beta=109.79 gamma=90.00
Element x y z (fractional)
Mn1 0.893 0.750 0.498
Mn2 0.107 0.250 0.502
B1 0.189 0.750 0.292
B2 0.811 0.250 0.708
S1 0.052 0.482 0.702
S2 0.948 0.518 0.298
S3 0.753 0.250 0.909
S4 0.052 0.018 0.702
S5 0.528 0.250 0.513
S6 0.948 0.982 0.298
S7 0.472 0.750 0.487
S8 0.247 0.750 0.091
Ba1 0.653 0.750 0.880
Ba2 0.347 0.250 0.120

---

VASP calculation (PBE-GGA) on BaTiMn2B after structural relaxation.

* density: 6.0 Mg/m³
* crystal system: tetragonal
* DFT total energy: -5.82 eV per atom
* ΔE_f: 1.150 eV/atom

Unit cell a=4.017 b=5.218 c=4.017 alpha=90.00 beta=90.00 gamma=90.00
Element x y z (fractional)
Ba1 0.000 0.500 0.000
Mn1 0.500 0.000 0.000
Mn2 0.000 0.000 0.500
Ti1 0.500 0.500 0.500
B1 0.000 0.000 0.000

---

VASP calculation (PBE-GGA) on Ba2B2Mo after structural relaxation.

* density: 5.8 Mg/m³
* crystal system: tetragonal
* DFT total energy: -4.59 eV per atom
* polymorph energy (0 for the lowest one): 0.00 eV per formula unit
* ΔE_f: 1.016 eV/atom

Unit cell a=6.473 b=6.473 c=5.384 alpha=90.00 beta=90.00 gamma=90.00
Element x y z (fractional)
B1 0.789 0.711 0.000
B2 0.211 0.289 0.000
B3 0.711 0.211 0.000
B4 0.289 0.789 0.000
Mo1 0.500 0.500 0.000
Mo2 0.000 0.000 0.000
Ba1 0.327 0.173 0.500
Ba2 0.173 0.673 0.500
Ba3 0.673 0.827 0.500
Ba4 0.827 0.327 0.500

---

VASP calculation (PBE-GGA) on BaBMo3 after structural relaxation.

* density: 5.8 Mg/m³
* crystal system: cubic
* DFT total energy: -4.22 eV per atom
* polymorph energy (0 for the lowest one): 14.90 eV per formula unit
* ΔE_f: 3.996 eV/atom

Unit cell a=5.005 b=5.005 c=5.005 alpha=90.00 beta=90.00 gamma=90.00
Element x y z (fractional)
Mo1 0.000 0.500 0.000
Mo2 0.500 0.000 0.000
Mo3 0.000 0.000 0.500
B1 0.500 0.500 0.500
Ba1 0.000 0.000 0.000

---

VASP calculation (PBE-GGA) on BaB3Mo after structural relaxation.

* density: 4.9 Mg/m³
* crystal system: cubic
* DFT total energy: -3.16 eV per atom
* polymorph energy (0 for the lowest one): 14.44 eV per formula unit
* ΔE_f: 3.399 eV/atom

Unit cell a=4.474 b=4.474 c=4.474 alpha=90.00 beta=90.00 gamma=90.00
Element x y z (fractional)
Mo1 0.500 0.500 0.500
B1 0.500 0.000 0.000
B2 0.000 0.000 0.500
B3 0.000 0.500 0.000
Ba1 0.000 0.000 0.000